The following is a DFT calculation (GGA-PBE) of Y2BeCu after structural relaxation.

Calculated values
- total magnetization (μB per formula unit) = 0.0
- formation energy (eV per atom) = 0.101
- electronic total energy (eV/cell) = -20.35

Lattice parameters (Å, degrees): 3.2340 3.2340 7.8937 90.00 90.00 90.00
With the nearest neighbours (Å) after each atom.
Space group P4mm (No. 99)
Asymmetric unit:
Y (0.0000, 0.0000, 0.0000) x1  1 Be 2.95, 4 Cu 3.03, 4 Y 3.23
Y (0.5000, 0.5000, 0.3762) x1  1 Cu 2.93, 4 Be 3.02, 4 Y 3.23
Be (0.0000, 0.0000, 0.6263) x1  4 Cu 2.48
Cu (0.5000, 0.5000, 0.7473) x1  4 Be 2.48